# ZrCoH PBE relaxed
data_ZrCoH
_cell_length_a 3.196
_cell_length_b 3.189
_cell_length_c 7.243
_cell_angle_alpha 90.00
_cell_angle_beta 102.74
_cell_angle_gamma 90.00
_space_group_name_H-M_alt 'P 1'
_space_group_IT_number 1
loop_
_space_group_symop_operation_xyz
'x,y,z'
loop_
_atom_site_label
_atom_site_fract_x
_atom_site_fract_y
_atom_site_fract_z
H1 0.721 0.043 0.441
H2 0.952 0.043 0.905
Co1 0.838 0.043 0.675
Co2 0.601 0.043 0.202
Zr1 0.202 0.543 0.405
Zr2 0.452 0.543 0.904
# Symmetry   Amm2 (38)
# Spin magnetization   1.25 μB/cell
# E   -0.2406 Ha/atom
# Excess energy over the best structure of this formula in the dataset   0.39 eV/f.u.

=====

# Zr2CoH5 PBE relaxed
data_Zr2CoH5
_cell_length_a 6.881
_cell_length_b 6.881
_cell_length_c 5.674
_cell_angle_alpha 90.00
_cell_angle_beta 90.00
_cell_angle_gamma 90.00
_space_group_name_H-M_alt 'P 1'
_space_group_IT_number 1
loop_
_space_group_symop_operation_xyz
'x,y,z'
loop_
_atom_site_label
_atom_site_fract_x
_atom_site_fract_y
_atom_site_fract_z
Zr1 0.661 0.339 0.250
Zr2 0.661 0.661 0.750
Zr3 0.339 0.339 0.750
Zr4 0.339 0.661 0.250
Zr5 0.839 0.161 0.750
Zr6 0.839 0.839 0.250
Zr7 0.161 0.161 0.250
Zr8 0.161 0.839 0.750
Co1 0.500 0.000 0.492
Co2 0.500 0.000 0.992
Co3 0.000 0.500 0.508
Co4 0.000 0.500 0.008
H1 0.000 0.000 0.500
H2 0.000 0.000 0.000
H3 0.500 0.500 0.000
H4 0.500 0.500 0.500
H5 0.286 0.916 0.428
H6 0.286 0.084 0.928
H7 0.714 0.916 0.928
H8 0.714 0.084 0.428
H9 0.416 0.786 0.928
H10 0.416 0.214 0.428
H11 0.584 0.786 0.428
H12 0.584 0.214 0.928
H13 0.214 0.584 0.572
H14 0.214 0.416 0.072
H15 0.786 0.584 0.072
H16 0.786 0.416 0.572
H17 0.084 0.714 0.072
H18 0.084 0.286 0.572
H19 0.916 0.714 0.572
H20 0.916 0.286 0.072
# Symmetry   P4/ncc (130)
# Spin magnetization   3.41 μB/cell
# E   -0.2046 Ha/atom

=====

# Zr3Co8H PBE relaxed
data_Zr3Co8H
_cell_length_a 4.873
_cell_length_b 4.873
_cell_length_c 8.260
_cell_angle_alpha 72.84
_cell_angle_beta 72.84
_cell_angle_gamma 60.00
_space_group_name_H-M_alt 'P 1'
_space_group_IT_number 1
loop_
_space_group_symop_operation_xyz
'x,y,z'
loop_
_atom_site_label
_atom_site_fract_x
_atom_site_fract_y
_atom_site_fract_z
Zr1 0.618 0.618 0.147
Zr2 0.008 0.008 0.975
Zr3 0.487 0.487 0.540
Co1 0.559 0.052 0.831
Co2 0.055 0.563 0.328
Co3 0.559 0.559 0.831
Co4 0.055 0.055 0.328
Co5 0.806 0.806 0.582
Co6 0.307 0.307 0.078
Co7 0.052 0.559 0.831
Co8 0.563 0.055 0.328
H1 0.183 0.183 0.451
# Symmetry   R3m (160)
# Spin magnetization   5.36 μB/cell
# E   -0.2680 Ha/atom

=====

# Zr2CoH PBE relaxed
data_Zr2CoH
_cell_length_a 4.381
_cell_length_b 4.381
_cell_length_c 4.381
_cell_angle_alpha 60.00
_cell_angle_beta 60.00
_cell_angle_gamma 60.00
_space_group_name_H-M_alt 'P 1'
_space_group_IT_number 1
loop_
_space_group_symop_operation_xyz
'x,y,z'
loop_
_atom_site_label
_atom_site_fract_x
_atom_site_fract_y
_atom_site_fract_z
H1 0.000 0.000 0.000
Co1 0.500 0.500 0.500
Zr1 0.250 0.250 0.250
Zr2 0.750 0.750 0.750
# Symmetry   Fm-3m (225)
# Spin magnetization   0.00 μB/cell
# E   -0.2523 Ha/atom
# Excess energy over the best structure of this formula in the dataset   1.50 eV/f.u.

=====

> spin magnetization of number 3 (Zr3Co8H)?

5.36 μB/cell